A geometry-optimized Tm5Si6Ge structure, computed with PBE-GGA.

a b c (Å): 7.2068 14.2977 5.4227
angles (deg): 90.00 114.68 90.00
Space group C2/m (No. 12)
One atom of each set of equivalent atoms:
Tm1 0.0000 0.0000 0.0000 [2 per cell]
Tm2 0.0000 0.1885 0.5000 [4 per cell]
Tm3 0.0000 0.3859 0.0000 [4 per cell]
Si1 0.1809 0.0000 0.6040 [4 per cell]
Si2 0.1820 0.1960 0.1175 [8 per cell]
Ge1 0.0000 0.5000 0.5000 [2 per cell]

Computed properties:
The total magnetization is 0.00 μB per cell. Its crystal system is monoclinic. The raw total energy is -5.51 eV per atom.